DFT (PBE) results for an optimized crystal structure of K2GaSiO4.

Lattice parameters (Å, degrees): 5.6149 5.6149 5.6149 92.73 118.44 118.44
With the nearest neighbours (Å) after each atom.
Element x y z (fractional)
Si (0.0000, 0.5000, 0.5000)  4 O 1.67
O (0.9047, 0.4971, 0.1678)  1 Si 1.67
O (0.3293, 0.8322, 0.7368)  1 Si 1.67
K (0.0000, 0.0000, 0.0000)  4 O 2.91
O (0.6707, 0.4075, 0.5029)  1 Si 1.67
O (0.0953, 0.2632, 0.5925)  1 Si 1.67
K (0.5000, 0.7500, 0.2500)  4 O 2.71
Ga (0.5000, 0.2500, 0.7500)  4 O 2.05

As for the symmetry: I-4. The value obtained for the total energy is -5.763 eV/atom.

***

DFT (PBE) results for an optimized crystal structure of KSm4Ga3O12.

Lattice parameters (Å, degrees): 7.2728 7.2728 7.2728 109.47 109.47 109.47
With the nearest neighbours (Å) after each atom.
Element x y z (fractional)
O (0.6665, 0.8446, 0.5111)  1 Ga 1.91
O (0.1781, 0.3335, 0.8446)  1 Ga 1.91
O (0.8446, 0.1781, 0.3335)  1 Ga 1.91
O (0.5111, 0.6665, 0.8446)  1 Ga 1.91
O (0.6665, 0.1554, 0.8219)  1 Ga 1.91
O (0.3335, 0.8446, 0.1781)  1 Ga 1.91
Ga (0.5000, 0.0000, 0.5000)  4 O 1.91
K (0.0000, 0.0000, 0.0000)  12 O 3.09
Sm (0.0000, 0.0000, 0.5000)  6 O 2.35
O (0.8219, 0.6665, 0.1554)  1 Ga 1.91
O (0.3335, 0.1554, 0.4889)  1 Ga 1.91
O (0.1554, 0.4889, 0.3335)  1 Ga 1.91
O (0.4889, 0.3335, 0.1554)  1 Ga 1.91
Sm (0.5000, 0.5000, 0.5000)  6 O 2.35
Sm (0.5000, 0.0000, 0.0000)  6 O 2.35
Ga (0.0000, 0.5000, 0.5000)  4 O 1.91
Ga (0.5000, 0.5000, 0.0000)  4 O 1.91
Sm (0.0000, 0.5000, 0.0000)  6 O 2.35
O (0.1554, 0.8219, 0.6665)  1 Ga 1.91
O (0.8446, 0.5111, 0.6665)  1 Ga 1.91

As for the symmetry: Im-3. The value obtained for the total energy is -6.746 eV/atom.

***

DFT (PBE) results for an optimized crystal structure of K2SmGaO4.

Lattice parameters (Å, degrees): 6.0238 6.0238 6.0238 87.96 121.18 121.18
With the nearest neighbours (Å) after each atom.
Element x y z (fractional)
K (0.5000, 0.7500, 0.2500)  4 O 2.71
O (0.0702, 0.2322, 0.6087)  1 Ga 1.89
O (0.3764, 0.8380, 0.7678)  1 Ga 1.89
O (0.9298, 0.5385, 0.1620)  1 Ga 1.89
Ga (0.0000, 0.5000, 0.5000)  4 O 1.89
O (0.6236, 0.3913, 0.4615)  1 Ga 1.89
Sm (0.5000, 0.2500, 0.7500)  4 O 2.21
K (0.0000, 0.0000, 0.0000)  4 O 2.81

As for the symmetry: I-4. The value obtained for the total energy is -5.906 eV/atom.

***

DFT (PBE) results for an optimized crystal structure of KSmGaO4.

Lattice parameters (Å, degrees): 7.3707 6.7769 6.7769 52.75 57.06 57.06
With the nearest neighbours (Å) after each atom.
Element x y z (fractional)
O (0.2908, 0.7523, 0.2523)  1 Ga 1.90
Sm (0.5000, 0.0000, 0.5000)  6 O 2.38-2.41
Ga (0.6151, 0.6349, 0.1349)  4 O 1.90-1.91
O (0.7343, 0.7680, 0.7635)  1 Ga 1.91
O (0.2657, 0.2320, 0.2365)  1 Ga 1.91
K (0.0000, 0.5000, 0.5000)  6 O 2.56-2.63
O (0.2657, 0.7365, 0.7320)  1 Ga 1.91
O (0.7343, 0.2635, 0.2680)  1 Ga 1.91
O (0.2954, 0.2477, 0.7477)  1 Ga 1.90
Sm (0.0000, 0.0000, 0.5000)  6 O 2.38-2.41
Ga (0.3849, 0.3651, 0.8651)  4 O 1.90-1.91
O (0.7092, 0.2477, 0.7477)  1 Ga 1.90
K (0.0000, 0.0000, 0.0000)  6 O 2.56-2.63
O (0.7046, 0.7523, 0.2523)  1 Ga 1.90

As for the symmetry: Imma. The value obtained for the total energy is -6.044 eV/atom.

***

DFT (PBE) results for an optimized crystal structure of KSm2GaO5.

Lattice parameters (Å, degrees): 6.7494 6.7494 7.4050 117.11 117.11 90.00
With the nearest neighbours (Å) after each atom.
Element x y z (fractional)
O (0.7692, 0.9952, 0.2644)  1 Ga 1.87
Sm (0.1803, 0.3197, 0.0000)  4 O 2.30-2.48
K (0.7500, 0.7500, 0.5000)  10 O 2.83-2.94
Sm (0.8197, 0.6803, 0.0000)  4 O 2.30-2.48
O (0.9952, 0.4952, 0.2644)  1 Ga 1.87
O (0.2308, 0.0048, 0.7356)  1 Ga 1.87
O (0.5048, 0.7308, 0.7356)  1 Ga 1.87
O (0.4952, 0.2692, 0.2644)  1 Ga 1.87
Ga (0.2500, 0.7500, 0.5000)  4 O 1.87
Sm (0.3197, 0.8197, 0.0000)  4 O 2.30-2.48
O (0.0048, 0.5048, 0.7356)  1 Ga 1.87
O (0.2692, 0.7692, 0.2644)  1 Ga 1.87
Sm (0.6803, 0.1803, 0.0000)  4 O 2.30-2.48
O (0.0000, 0.0000, 0.0000)  4 Sm 2.48
O (0.7308, 0.2308, 0.7356)  1 Ga 1.87
O (0.5000, 0.5000, 0.0000)  4 Sm 2.48
K (0.2500, 0.2500, 0.5000)  10 O 2.83-2.94
Ga (0.7500, 0.2500, 0.5000)  4 O 1.87

As for the symmetry: I4/mcm. The value obtained for the total energy is -6.912 eV/atom.

***

DFT (PBE) results for an optimized crystal structure of K2GaSnO.

Lattice parameters (Å, degrees): 6.8348 4.9589 6.8348 90.00 90.00 90.00
With the nearest neighbours (Å) after each atom.
Element x y z (fractional)
Sn (0.0000, 0.0000, 0.0000)  2 Ga 2.48
K (0.5000, 0.0000, 0.0000)  2 Sn 3.42
O (0.5000, 0.5000, 0.5000)  8 K 4.22
K (0.0000, 0.0000, 0.5000)  2 Sn 3.42
Ga (0.0000, 0.5000, 0.0000)  2 Sn 2.48

As for the symmetry: P4/mmm. The value obtained for the total energy is -2.497 eV/atom.

***

DFT (PBE) results for an optimized crystal structure of K3Ga2SnO6.

Lattice parameters (Å, degrees): 6.0025 6.0025 7.1617 90.00 90.00 120.00
With the nearest neighbours (Å) after each atom.
Element x y z (fractional)
O (0.1603, 0.8397, 0.3108)  1 Ga 1.81
O (0.8397, 0.1603, 0.6892)  1 Ga 1.81
K (0.6667, 0.3333, 0.2674)  6 O 3.02, 1 Ga 3.17
O (0.3205, 0.1603, 0.6892)  1 Ga 1.81
Ga (0.6667, 0.3333, 0.7095)  3 O 1.81
O (0.6795, 0.8397, 0.3108)  1 Ga 1.81
O (0.8397, 0.6795, 0.6892)  1 Ga 1.81
O (0.1603, 0.3205, 0.3108)  1 Ga 1.81
K (0.0000, 0.0000, 0.0000)  6 O 2.78
Sn (0.0000, 0.0000, 0.5000)  6 O 2.15
Ga (0.3333, 0.6667, 0.2905)  3 O 1.81
K (0.3333, 0.6667, 0.7326)  6 O 3.02, 1 Ga 3.17

As for the symmetry: P-3m1. The value obtained for the total energy is -5.110 eV/atom.

***

DFT (PBE) results for an optimized crystal structure of K2GaSnO5.

Lattice parameters (Å, degrees): 3.1582 7.1197 12.7927 90.00 90.00 102.81
With the nearest neighbours (Å) after each atom.
Element x y z (fractional)
Ga (0.4919, 0.9838, 0.4700)  4 O 1.83-1.91
K (0.8707, 0.7414, 0.7402)  5 O 2.60-2.69
Sn (0.2401, 0.4802, 0.9992)  6 O 2.09-2.28
O (0.2739, 0.5478, 0.6068)  2 Sn 2.10
O (0.6100, 0.2201, 0.5421)  1 Ga 1.88
Ga (0.5081, 0.0162, 0.9700)  4 O 1.83-1.91
Sn (0.7599, 0.5198, 0.4992)  6 O 2.09-2.28
K (0.1293, 0.2586, 0.2402)  5 O 2.60-2.69
K (0.1259, 0.2518, 0.7359)  5 O 2.64-2.95
O (0.7390, 0.4780, 0.8925)  2 Sn 2.09
O (0.4961, 0.9923, 0.8272)  1 Ga 1.83
K (0.8741, 0.7482, 0.2359)  5 O 2.64-2.95
O (0.9239, 0.8478, 0.5100)  2 Ga 1.91
O (0.7261, 0.4522, 0.1068)  2 Sn 2.10
O (0.0761, 0.1522, 0.0100)  2 Ga 1.91
O (0.3900, 0.7799, 0.0421)  1 Ga 1.88
O (0.2610, 0.5220, 0.3925)  2 Sn 2.09
O (0.5039, 0.0077, 0.3272)  1 Ga 1.83

As for the symmetry: Cmc2_1. The value obtained for the total energy is -5.281 eV/atom.

***

DFT (PBE) results for an optimized crystal structure of KSrGa2O.

Lattice parameters (Å, degrees): 5.6514 4.7191 5.6514 90.00 90.00 90.00
With the nearest neighbours (Å) after each atom.
Element x y z (fractional)
K (0.0000, 0.0000, 0.0000)  2 O 2.36
O (0.0000, 0.5000, 0.0000)  2 K 2.36
Sr (0.5000, 0.5000, 0.5000)  8 Ga 3.68, 4 O 4.00
Ga (0.0000, 0.0000, 0.5000)  2 K 2.83
Ga (0.5000, 0.0000, 0.0000)  2 K 2.83

As for the symmetry: P4/mmm. The value obtained for the total energy is -2.515 eV/atom.

***

DFT (PBE) results for an optimized crystal structure of KSr2GaO4.

Lattice parameters (Å, degrees): 3.5120 6.6533 12.4425 90.00 90.00 105.30
With the nearest neighbours (Å) after each atom.
Element x y z (fractional)
O (0.7445, 0.4890, 0.6222)  1 Ga 1.83
Ga (0.1849, 0.3698, 0.2500)  4 O 1.83-2.03
O (0.0000, 0.0000, 0.0000)  4 Sr 2.46
Sr (0.6292, 0.2585, 0.4638)  6 O 2.46-2.68
O (0.3943, 0.7886, 0.7500)  2 Ga 2.03
Sr (0.6292, 0.2585, 0.0362)  6 O 2.46-2.68
O (0.2555, 0.5110, 0.3778)  1 Ga 1.83
K (0.0875, 0.1750, 0.7500)  8 O 3.04-3.31
Sr (0.3708, 0.7415, 0.9638)  6 O 2.46-2.68
Sr (0.3708, 0.7415, 0.5362)  6 O 2.46-2.68
Ga (0.8151, 0.6302, 0.7500)  4 O 1.83-2.03
K (0.9125, 0.8250, 0.2500)  8 O 3.04-3.31
O (0.0000, 0.0000, 0.5000)  4 Sr 2.46
O (0.2555, 0.5110, 0.1222)  1 Ga 1.83
O (0.6057, 0.2114, 0.2500)  2 Ga 2.03
O (0.7445, 0.4890, 0.8778)  1 Ga 1.83

As for the symmetry: Cmcm. The value obtained for the total energy is -5.655 eV/atom.

***

DFT (PBE) results for an optimized crystal structure of KTaGa2O6.

Lattice parameters (Å, degrees): 6.3597 7.5131 7.5131 104.35 75.65 75.65
With the nearest neighbours (Å) after each atom.
Element x y z (fractional)
K (0.7500, 0.1046, 0.8954)  6 O 2.73-2.83
Ta (0.7500, 0.7999, 0.2001)  4 O 1.86-1.87
O (0.9759, 0.3665, 0.8050)  1 Ta 1.86, 1 Ga 1.93
Ga (0.3403, 0.6955, 0.5546)  5 O 1.90-2.07
O (0.7814, 0.0463, 0.2444)  1 Ta 1.87, 1 Ga 1.97
Ga (0.8403, 0.5546, 0.6955)  5 O 1.90-2.07
O (0.5464, 0.5691, 0.6649)  3 Ga 1.90-2.07
O (0.7186, 0.7556, 0.9537)  1 Ta 1.87, 1 Ga 1.97
O (0.4536, 0.4309, 0.3351)  3 Ga 1.90-2.07
Ta (0.2500, 0.2001, 0.7999)  4 O 1.86-1.87
O (0.2186, 0.9537, 0.7556)  1 Ta 1.87, 1 Ga 1.97
O (0.0241, 0.6335, 0.1950)  1 Ta 1.86, 1 Ga 1.93
O (0.0464, 0.6649, 0.5691)  3 Ga 1.90-2.07
O (0.9536, 0.3351, 0.4309)  3 Ga 1.90-2.07
Ga (0.1597, 0.4454, 0.3045)  5 O 1.90-2.07
K (0.2500, 0.8954, 0.1046)  6 O 2.73-2.83
O (0.4759, 0.8050, 0.3665)  1 Ta 1.86, 1 Ga 1.93
Ga (0.6597, 0.3045, 0.4454)  5 O 1.90-2.07
O (0.5241, 0.1950, 0.6335)  1 Ta 1.86, 1 Ga 1.93
O (0.2814, 0.2444, 0.0463)  1 Ta 1.87, 1 Ga 1.97

As for the symmetry: C2/c. The value obtained for the total energy is -7.031 eV/atom.

***

DFT (PBE) results for an optimized crystal structure of KTbGaO4.

Lattice parameters (Å, degrees): 7.2465 6.7120 6.7120 52.87 57.33 57.33
With the nearest neighbours (Å) after each atom.
Element x y z (fractional)
O (0.2660, 0.7385, 0.7295)  1 Ga 1.91
O (0.7340, 0.2615, 0.2705)  1 Ga 1.91
O (0.2856, 0.7571, 0.2571)  1 Ga 1.90
Ga (0.3865, 0.3635, 0.8635)  4 O 1.90-1.91
K (0.0000, 0.0000, 0.0000)  6 O 2.55-2.60
Tb (0.0000, 0.0000, 0.5000)  6 O 2.34-2.35
O (0.2660, 0.2295, 0.2385)  1 Ga 1.91
O (0.7144, 0.2429, 0.7429)  1 Ga 1.90
Ga (0.6135, 0.6365, 0.1365)  4 O 1.90-1.91
O (0.7002, 0.7571, 0.2571)  1 Ga 1.90
K (0.0000, 0.5000, 0.5000)  6 O 2.55-2.60
O (0.2998, 0.2429, 0.7429)  1 Ga 1.90
Tb (0.5000, 0.0000, 0.5000)  6 O 2.34-2.35
O (0.7340, 0.7705, 0.7615)  1 Ga 1.91

As for the symmetry: Imma. The value obtained for the total energy is -6.065 eV/atom.

***

Number 1: N(E_F) 2.5 states/eV per cell, theoretical density 3.11 g cm⁻³. Number 2: N(E_F) 6.7 states/eV per cell, theoretical density 5.84 g cm⁻³. Number 3: N(E_F) 0.0 states/eV per cell, theoretical density 3.97 g cm⁻³. Number 4: N(E_F) 7.6 states/eV per cell, theoretical density 5.01 g cm⁻³. Number 5: N(E_F) 0.0 states/eV per cell, theoretical density 6.30 g cm⁻³. Number 6: N(E_F) 16.7 states/eV per cell, theoretical density 2.03 g cm⁻³. Number 7: N(E_F) 1.5 states/eV per cell, theoretical density 3.50 g cm⁻³. Number 8: N(E_F) 8.8 states/eV per cell, theoretical density 4.10 g cm⁻³. Number 9: N(E_F) 3.8 states/eV per cell, theoretical density 3.11 g cm⁻³. Number 10: N(E_F) 0.0 states/eV per cell, theoretical density 4.12 g cm⁻³. Number 11: N(E_F) 0.0 states/eV per cell, theoretical density 4.76 g cm⁻³. Number 12: N(E_F) 6.9 states/eV per cell, theoretical density 5.31 g cm⁻³.